[1]
A plane-wave DFT calculation with PBE was carried out for an optimized crystal structure of Mg2Bi2H.

```
Mg2Bi2H
1.0
3.4121 0.0000 0.0000
0.0000 7.6968 0.0000
-1.7061 0.0000 8.9056
H Mg Bi
2 4 4
Direct
0.3976 0.1131 0.7952
0.6024 0.6131 0.2048
0.4373 0.3512 0.8745
0.1478 0.5492 0.2956
0.5627 0.8512 0.1255
0.8522 0.0492 0.7044
0.2154 0.9189 0.4308
0.9276 0.7018 0.8552
0.7846 0.4189 0.5692
0.0724 0.2018 0.1448
```

- volume (Å³ per cell) = 234
- total energy (eV per atom) = -2.93
- space-group type = Cmc2_1, No. 36


[2]
A plane-wave DFT calculation with PBE was carried out for an optimized crystal structure of AsWS2N.

```
AsWS2N
1.0
-1.9073 0.9447 -4.3094
-3.6220 -3.0157 0.9420
-1.8298 2.6307 1.3865
S W As N
2 1 1 1
Direct
0.0000 0.5000 0.0000
0.5000 0.0000 0.0000
0.5000 0.5000 0.5000
0.0000 0.0000 0.0000
0.0000 0.0000 0.5000
```

- volume (Å³ per cell) = 81
- energy relative to the elements, uncorrected (eV per atom) = 1.383
- total energy (eV per atom) = -5.45
- space-group type = P4/mmm, No. 123
- energy above the lowest structure with this stoichiometry (meV/atom) = 1008.9


[3]
A plane-wave DFT calculation with PBE was carried out for an optimized crystal structure of Hf2Mn2BeB4.

```
Hf2Mn2BeB4
1.0
5.1043 -0.1854 -0.2925
-2.2201 4.6000 0.2925
-2.2201 -1.6990 4.2847
Hf Mn B Be
2 2 4 1
Direct
0.5000 0.7500 0.2500
0.5000 0.2500 0.7500
0.0000 0.6445 0.6445
0.0000 0.3555 0.3555
0.0000 0.2505 0.7495
0.4990 0.7495 0.7495
0.0000 0.7495 0.2505
0.5010 0.2505 0.2505
0.0000 0.0000 0.0000
```

- volume (Å³ per cell) = 97
- total energy (eV per atom) = -7.56
- formation energy (meV/atom) = 75
- space-group type = I4/mmm, No. 139


[4]
A plane-wave DFT calculation with PBE was carried out for an optimized crystal structure of ThHgGe2.

```
ThHgGe2
1.0
4.4399 0.0000 0.0000
2.2200 3.8451 0.0000
2.2200 1.2817 8.2163
Ge Th Hg
2 1 1
Direct
0.1042 0.1042 0.6874
0.8958 0.8958 0.3126
0.5000 0.5000 0.5000
0.0000 0.0000 0.0000
```

- volume (Å³ per cell) = 140
- total energy (eV per atom) = -4.04
- formation energy (meV/atom) = 199
- space-group type = R-3m, No. 166
- energy above the lowest structure with this stoichiometry (meV/atom) = 623.2


[5]
A plane-wave DFT calculation with PBE was carried out for an optimized crystal structure of NaMnSCl2.

```
NaMnSCl2
1.0
4.8622 0.0000 0.0000
0.0000 5.2305 0.0000
0.0000 0.0000 4.8622
Mn S Cl Na
1 1 2 1
Direct
0.5000 0.5000 0.5000
0.0000 0.5000 0.0000
0.5000 0.0000 0.0000
0.0000 0.0000 0.5000
0.0000 0.0000 0.0000
```

- volume (Å³ per cell) = 124
- energy relative to the elements, uncorrected (eV per atom) = 0.035
- total energy (eV per atom) = -3.63
- space-group type = P4/mmm, No. 123
- energy above the lowest structure with this stoichiometry (meV/atom) = 927.1


[6]
A plane-wave DFT calculation with PBE was carried out for an optimized crystal structure of Ca2ThGaN4.

```
Ca2ThGaN4
1.0
3.4144 0.0000 0.0000
-1.7072 5.7412 0.0000
0.0000 0.0000 12.0563
N Th Ca Ga
8 2 4 2
Direct
0.4466 0.8932 0.7500
0.2771 0.5543 0.1356
0.7229 0.4457 0.6356
0.5534 0.1068 0.2500
0.0000 0.0000 0.5000
0.2771 0.5543 0.3644
0.7229 0.4457 0.8644
0.0000 0.0000 0.0000
0.1127 0.2253 0.7500
0.8873 0.7747 0.2500
0.6351 0.2702 0.4551
0.6351 0.2702 0.0449
0.3649 0.7298 0.9551
0.3649 0.7298 0.5449
0.8426 0.6853 0.7500
0.1574 0.3147 0.2500
```

- volume (Å³ per cell) = 236
- energy relative to the elements, uncorrected (eV per atom) = -0.772
- total energy (eV per atom) = -6.74
- space-group type = Cmcm, No. 63


[7]
A plane-wave DFT calculation with PBE was carried out for an optimized crystal structure of Tb2SiI.

```
Tb2SiI
1.0
4.2164 0.0000 0.0000
0.0000 7.1948 0.0000
0.0000 0.0000 7.7845
Tb Si I
4 2 2
Direct
0.7500 0.9926 0.8025
0.7500 0.5074 0.8025
0.2500 0.0074 0.1975
0.2500 0.4926 0.1975
0.7500 0.2500 0.0866
0.2500 0.7500 0.9134
0.2500 0.2500 0.5714
0.7500 0.7500 0.4286
```

- volume (Å³ per cell) = 236
- energy relative to the elements, uncorrected (eV per atom) = -0.790
- total energy (eV per atom) = -4.85
- space-group type = Pmmn, No. 59
- energy above the lowest structure with this stoichiometry (meV/atom) = 113.5


[8]
A plane-wave DFT calculation with PBE was carried out for an optimized crystal structure of ScCd2Si.

```
ScCd2Si
1.0
5.4022 0.0000 0.0000
0.0000 3.1912 -0.1220
0.0000 0.2449 4.8213
Si Cd Sc
1 2 1
Direct
0.5000 0.7500 0.7500
0.0000 0.5266 0.5020
0.0000 0.9734 0.9980
0.5000 0.2500 0.2500
```

- volume (Å³ per cell) = 83
- energy relative to the elements, uncorrected (eV per atom) = -0.063
- total energy (eV per atom) = -3.46
- space-group type = P2/m, No. 10